## a
TbPuTh2: optimized geometry, GGA-PBE. Values from VASP.

```
&SYSTEM
  ibrav = 0, nat = 4, ntyp = 3
/
ATOMIC_SPECIES
Tb 158.93 Tb.upf
Pu 244.00 Pu.upf
Th 232.04 Th.upf
ATOMIC_POSITIONS angstrom
Tb 0.000 0.000 0.000
Pu 0.000 0.000 4.835
Th 1.772 1.772 2.552
Th 1.772 1.772 7.119
CELL_PARAMETERS angstrom
3.544 0.000 0.000
0.000 3.544 0.000
0.000 0.000 9.671
```

## Properties
Space-group type: P4/mmm
Volume in Å³ per cell: 121.4
Size of the total moment in μB per atom: 1.293
Density of states at the Fermi level in states/eV/cell: 9.800

## b
TbPuTh2: optimized geometry, GGA-PBE. Values from VASP.

```
&SYSTEM
  ibrav = 0, nat = 4, ntyp = 3
/
ATOMIC_SPECIES
Tb 158.93 Tb.upf
Pu 244.00 Pu.upf
Th 232.04 Th.upf
ATOMIC_POSITIONS angstrom
Tb 0.000 0.000 0.000
Pu 0.000 0.000 5.804
Th 0.000 0.000 19.890
Th 0.000 0.000 25.752
CELL_PARAMETERS angstrom
1.770 1.022 11.391
-1.770 1.022 11.391
0.000 -2.044 11.391
```

## Properties
Space-group type: R3m
Volume in Å³ per cell: 123.6
Size of the total moment in μB per atom: 1.401
Density of states at the Fermi level in states/eV/cell: 11.305

## c
TbPuTh2: optimized geometry, GGA-PBE. Values from VASP.

```
&SYSTEM
  ibrav = 0, nat = 4, ntyp = 3
/
ATOMIC_SPECIES
Tb 158.93 Tb.upf
Pu 244.00 Pu.upf
Th 232.04 Th.upf
ATOMIC_POSITIONS angstrom
Tb 0.000 0.000 0.000
Pu 3.932 3.932 3.932
Th 1.966 1.966 1.966
Th 5.899 5.899 5.899
CELL_PARAMETERS angstrom
0.000 3.932 3.932
3.932 0.000 3.932
3.932 3.932 0.000
```

## Properties
Space-group type: Fm-3m
Volume in Å³ per cell: 121.6
Size of the total moment in μB per atom: 1.774
Density of states at the Fermi level in states/eV/cell: 16.022

Most favorable structure: a. The second most favorable one is 10 meV/atom above it.

## a
Tb2PuTl: optimized geometry, GGA-PBE. Values from VASP.

```
&SYSTEM
  ibrav = 0, nat = 4, ntyp = 3
/
ATOMIC_SPECIES
Tb 158.93 Tb.upf
Pu 244.00 Pu.upf
Tl 204.38 Tl.upf
ATOMIC_POSITIONS angstrom
Tb 0.000 0.000 2.164
Tb 0.000 0.000 6.898
Pu 1.772 1.772 4.531
Tl 1.772 1.772 0.000
CELL_PARAMETERS angstrom
3.543 0.000 0.000
0.000 3.543 0.000
0.000 0.000 9.062
```

## Properties
Space-group type: P4/mmm
Volume in Å³ per cell: 113.8
Size of the total moment in μB per atom: 1.481
Density of states at the Fermi level in states/eV/cell: 9.366

## b
Tb2PuTl: optimized geometry, GGA-PBE. Values from VASP.

```
&SYSTEM
  ibrav = 0, nat = 4, ntyp = 3
/
ATOMIC_SPECIES
Tb 158.93 Tb.upf
Pu 244.00 Pu.upf
Tl 204.38 Tl.upf
ATOMIC_POSITIONS angstrom
Tb 0.000 0.000 0.000
Tb 0.000 0.000 5.561
Pu 0.000 0.000 13.531
Tl 0.000 0.000 18.935
CELL_PARAMETERS angstrom
1.781 1.028 10.766
-1.781 1.028 10.766
0.000 -2.057 10.766
```

## Properties
Space-group type: R3m
Volume in Å³ per cell: 118.3
Size of the total moment in μB per atom: 1.614
Density of states at the Fermi level in states/eV/cell: 10.015

## c
Tb2PuTl: optimized geometry, GGA-PBE. Values from VASP.

```
&SYSTEM
  ibrav = 0, nat = 4, ntyp = 3
/
ATOMIC_SPECIES
Tb 158.93 Tb.upf
Pu 244.00 Pu.upf
Tl 204.38 Tl.upf
ATOMIC_POSITIONS angstrom
Tb 0.000 0.000 8.082
Tb 0.000 0.000 24.543
Pu 0.000 0.000 0.000
Tl 0.000 0.000 16.313
CELL_PARAMETERS angstrom
1.765 1.019 10.875
-1.765 1.019 10.875
0.000 -2.038 10.875
```

## Properties
Space-group type: R-3m
Volume in Å³ per cell: 117.4
Size of the total moment in μB per atom: 1.516
Density of states at the Fermi level in states/eV/cell: 11.405

## d
Tb2PuTl: optimized geometry, GGA-PBE. Values from VASP.

```
&SYSTEM
  ibrav = 0, nat = 4, ntyp = 3
/
ATOMIC_SPECIES
Tb 158.93 Tb.upf
Pu 244.00 Pu.upf
Tl 204.38 Tl.upf
ATOMIC_POSITIONS angstrom
Tb 1.919 1.919 1.919
Tb 5.757 5.757 5.757
Pu 0.000 0.000 0.000
Tl 3.838 3.838 3.838
CELL_PARAMETERS angstrom
0.000 3.838 3.838
3.838 0.000 3.838
3.838 3.838 0.000
```

## Properties
Space-group type: Fm-3m
Volume in Å³ per cell: 113.1
Size of the total moment in μB per atom: 1.673
Density of states at the Fermi level in states/eV/cell: 15.328

Most favorable structure: a. The second most favorable one is 49 meV/atom above it.

## a
Tb3Tm4Pu: optimized geometry, GGA-PBE. Values from VASP.

```
&SYSTEM
  ibrav = 0, nat = 16, ntyp = 3
/
ATOMIC_SPECIES
Tb 158.93 Tb.upf
Tm 168.93 Tm.upf
Pu 244.00 Pu.upf
ATOMIC_POSITIONS angstrom
Tb 1.231 0.016 1.239
Tb 1.231 2.482 8.701
Tb 1.231 4.947 1.239
Tb 3.693 4.979 8.678
Tb 3.693 7.445 1.216
Tb 3.693 9.910 8.678
Tm 1.231 2.482 3.729
Tm 1.231 4.983 6.201
Tm 1.231 7.445 3.732
Tm 1.231 9.906 6.201
Tm 3.693 0.020 3.716
Tm 3.693 2.482 6.185
Tm 3.693 4.943 3.716
Tm 3.693 7.445 6.188
Pu 1.231 7.445 8.639
Pu 3.693 2.482 1.277
CELL_PARAMETERS angstrom
4.924 0.000 0.000
0.000 9.926 0.000
0.000 0.000 9.917
```

## Properties
Space-group type: Pmmn
Volume in Å³ per cell: 484.7
Size of the total moment in μB per atom: 0.808
Density of states at the Fermi level in states/eV/cell: 33.164

## b
Tb3Tm4Pu: optimized geometry, GGA-PBE. Values from VASP.

```
&SYSTEM
  ibrav = 0, nat = 8, ntyp = 3
/
ATOMIC_SPECIES
Tb 158.93 Tb.upf
Tm 168.93 Tm.upf
Pu 244.00 Pu.upf
ATOMIC_POSITIONS angstrom
Tb 0.000 0.000 0.000
Tb 2.907 3.266 1.661
Tb 2.907 -3.266 1.661
Tm 5.814 3.153 0.000
Tm 3.043 0.000 1.661
Tm 8.585 0.000 1.661
Tm 5.814 -3.153 0.000
Pu 5.814 0.000 0.000
CELL_PARAMETERS angstrom
5.814 -6.532 0.000
5.814 6.532 0.000
0.000 0.000 3.323
```

## Properties
Space-group type: Cmmm
Volume in Å³ per cell: 252.3
Size of the total moment in μB per atom: 0.875
Density of states at the Fermi level in states/eV/cell: 19.334

Most favorable structure: a. The second most favorable one is 397 meV/atom above it.